Record 1
Computed, not measured: a relaxed CsRbNbAg2Te4 crystal at the PBE-GGA level of DFT.

Unit cell a=6.5634 b=6.5391 c=8.2344 alpha=90.00 beta=112.71 gamma=90.00
Closest atoms and distances in Å follow each position.
Space group P2 (No. 3)
Asymmetric unit:
Cs 0.0000 0.0000 0.0000 [1 per cell]  8 Te 3.89-3.98
Rb 0.5000 0.4857 0.0000 [1 per cell]  8 Te 3.82-4.06
Nb 0.5000 0.7396 0.5000 [1 per cell]  4 Te 2.71
Ag 0.0000 0.7421 0.5000 [1 per cell]  4 Te 2.83-2.84
Ag 0.5000 0.2412 0.5000 [1 per cell]  4 Te 2.83-2.84
Te 0.1609 0.5059 0.2859 [2 per cell]  1 Nb 2.71, 2 Ag 2.83-2.84
Te 0.3710 0.9739 0.7150 [2 per cell]  1 Nb 2.71, 2 Ag 2.83-2.84

The calculation puts the total moment at 0.11 μB per atom.

Record 2
Computed, not measured: a relaxed CsTmO2 crystal at the PBE-GGA level of DFT.

Unit cell a=3.4792 b=3.4792 c=13.5322 alpha=90.00 beta=90.00 gamma=120.00
Closest atoms and distances in Å follow each position.
Space group P6_3/mmc (No. 194)
Asymmetric unit:
Cs 0.3333 0.6667 0.2500 [2 per cell]  6 O 3.04
Tm 0.0000 0.0000 0.0000 [2 per cell]  6 O 2.29
O 0.3333 0.6667 0.5818 [4 per cell]  3 Tm 2.29

The calculation puts the total moment at 0.00 μB per atom.

Record 3
Computed, not measured: a relaxed AgPAuO crystal at the PBE-GGA level of DFT.

Unit cell a=3.4017 b=7.1862 c=5.8997 alpha=90.00 beta=90.00 gamma=90.00
Closest atoms and distances in Å follow each position.
Space group Pmc2_1 (No. 26)
Asymmetric unit:
Ag 0.0000 0.1596 0.0000 [2 per cell]  2 O 2.18-2.26, 2 P 2.42
P 0.5000 0.3771 0.8793 [2 per cell]  2 Au 2.31-2.34, 2 Ag 2.42
Au 0.5000 0.3139 0.4900 [2 per cell]  2 O 2.26, 2 P 2.31-2.34
O 0.0000 0.1275 0.3806 [2 per cell]  2 Ag 2.18-2.26, 2 Au 2.26

The value obtained for the energy relative to the lowest polymorph listed for this composition is 41 meV per atom.

Record 4
Computed, not measured: a relaxed PrSm2Si4Pd4 crystal at the PBE-GGA level of DFT.

Unit cell a=4.1673 b=4.2504 c=24.3977 alpha=90.00 beta=90.00 gamma=90.00
Closest atoms and distances in Å follow each position.
Space group Immm (No. 71)
Asymmetric unit:
Pr 0.0000 0.0000 0.0000 [2 per cell]  4 Pd 3.17, 8 Si 3.21
Sm 0.0000 0.5000 0.1470 [4 per cell]  6 Si 3.17-3.21, 8 Pd 3.21-3.29
Si 0.0000 0.0000 0.4508 [4 per cell]  1 Si 2.40, 2 Pd 2.44
Si 0.0000 0.5000 0.3036 [4 per cell]  5 Pd 2.40-2.51
Pd 0.0000 0.0000 0.2488 [4 per cell]  4 Si 2.45-2.51
Pd 0.0000 0.5000 0.4019 [4 per cell]  3 Si 2.40-2.44

The calculation puts the total moment at 0.00 μB per atom.

Record 5
Computed, not measured: a relaxed HfGaPb crystal at the PBE-GGA level of DFT.

Unit cell a=6.7887 b=6.7887 c=6.7887 alpha=90.00 beta=90.00 gamma=90.00
Closest atoms and distances in Å follow each position.
Space group F-43m (No. 216)
Asymmetric unit:
Hf 0.0000 0.0000 0.0000 [4 per cell]  4 Ga 2.94, 4 Pb 2.94
Ga 0.2500 0.2500 0.7500 [4 per cell]  4 Hf 2.94
Pb 0.2500 0.2500 0.2500 [4 per cell]  4 Hf 2.94

The value obtained for the energy relative to the lowest polymorph listed for this composition is 0 meV per atom. The calculation puts the total moment at 0.00 μB per atom.

Record 6
Computed, not measured: a relaxed HoAuSeO crystal at the PBE-GGA level of DFT.

Unit cell a=4.2149 b=6.2679 c=6.5358 alpha=90.00 beta=90.00 gamma=90.00
Closest atoms and distances in Å follow each position.
Space group Pmc2_1 (No. 26)
Asymmetric unit:
Ho 0.0000 0.1921 0.0000 [2 per cell]  2 O 2.09-2.13
Au 0.5000 0.2657 0.6457 [2 per cell]  2 O 2.46, 2 Se 2.51-2.64
Se 0.5000 0.3484 0.2491 [2 per cell]  2 Au 2.51-2.64
O 0.0000 0.0703 0.6960 [2 per cell]  2 Ho 2.09-2.13

The value obtained for the energy relative to the lowest polymorph listed for this composition is 479 meV per atom. The calculation puts the total moment at 0.00 μB per atom.

Record 7
Computed, not measured: a relaxed HfGaPd2 crystal at the PBE-GGA level of DFT.

Unit cell a=6.4295 b=6.4295 c=6.4295 alpha=90.00 beta=90.00 gamma=90.00
Closest atoms and distances in Å follow each position.
Space group F-43m (No. 216)
Asymmetric unit:
Hf 0.0000 0.0000 0.0000 [4 per cell]  4 Pd 2.78, 4 Ga 2.78
Ga 0.2500 0.2500 0.7500 [4 per cell]  4 Hf 2.78, 4 Pd 2.78
Pd 0.0000 0.0000 0.5000 [4 per cell]  4 Ga 2.78, 4 Pd 2.78
Pd 0.2500 0.2500 0.2500 [4 per cell]  4 Hf 2.78, 4 Pd 2.78

The calculation puts the total moment at 0.00 μB per atom.

Record 8
Computed, not measured: a relaxed LiIrAu3O4 crystal at the PBE-GGA level of DFT.

Unit cell a=5.1887 b=5.1887 c=5.1887 alpha=90.00 beta=90.00 gamma=90.00
Closest atoms and distances in Å follow each position.
Space group P-43m (No. 215)
Asymmetric unit:
Li 0.0000 0.0000 0.0000 [1 per cell]  4 O 2.08
Ir 0.5000 0.5000 0.5000 [1 per cell]  4 O 2.41, 6 Au 2.59
Au 0.0000 0.5000 0.5000 [3 per cell]  4 O 2.31
O 0.2319 0.2319 0.2319 [4 per cell]  1 Li 2.08, 3 Au 2.31

The calculation puts the total moment at 0.46 μB per atom.

no.,electronic total energy (eV/cell)
1,-35.08
2,-51.77
3,-30.95
4,-133.89
5,-63.00
6,-44.09
7,-102.33
8,-36.88